Entry 1:
Entry from the Alexandria database: a relaxed MgZrTi2 crystal (PBE).

a b c (Å): 3.030 3.030 8.730
angles (deg): 90.00 90.00 90.00
Positions (direct):
1 Mg 0.500 0.500 0.000
2 Zr 0.500 0.500 0.500
3 Ti 0.000 0.000 0.744
4 Ti 0.000 0.000 0.256

Summary:
Total magnetization in μB per atom: 0.000
Space-group type: P4/mmm (123)
Formation energy in eV/atom: 0.121



Entry 2:
Entry from the Alexandria database: a relaxed Pr3NdEr2Se6 crystal (PBE).

a b c (Å): 7.205 7.205 7.337
angles (deg): 99.40 99.40 120.20
Positions (direct):
1 Pr 0.159 0.841 0.500
2 Pr 0.841 0.159 0.500
3 Pr 0.500 0.500 0.500
4 Nd 0.000 0.000 0.000
5 Er 0.334 0.666 0.000
6 Er 0.666 0.334 0.000
7 Se 0.922 0.576 0.763
8 Se 0.732 0.732 0.231
9 Se 0.078 0.424 0.237
10 Se 0.576 0.922 0.763
11 Se 0.268 0.268 0.769
12 Se 0.424 0.078 0.237

Summary:
Total magnetization in μB per atom: 0.000
Space-group type: C2/m (12)
ΔE_f (raw) in eV per atom: -1.800



Entry 3:
Entry from the Alexandria database: a relaxed TaRhW2 crystal (PBE).

a b c (Å): 3.225 3.225 6.246
angles (deg): 90.00 90.00 90.00
Positions (direct):
1 Ta 0.500 0.500 0.500
2 Rh 0.500 0.500 0.000
3 W 0.000 0.000 0.749
4 W 0.000 0.000 0.251

Summary:
Energy relative to the lowest polymorph listed for this composition in eV per atom: 0.1932
Total magnetization in μB per atom: 0.000
Space-group type: P4/mmm (123)
Formation energy in eV/atom: 0.097



Entry 4:
Entry from the Alexandria database: a relaxed ZnCo2Os crystal (PBE).

a b c (Å): 2.643 2.643 7.171
angles (deg): 90.00 90.00 90.00
Last column: magnetic moment on the atom in μB.
Positions (direct):
1 Co 0.000 0.000 0.015  1.48
2 Co 0.500 0.500 0.240  1.08
3 Os 0.000 0.000 0.480  -0.16
4 Zn 0.500 0.500 0.764  -0.03

Summary:
Total magnetization in μB per atom: 0.578
Space-group type: P4mm (99)
Formation energy in eV/atom: 0.177



Entry 5:
Entry from the Alexandria database: a relaxed RbPdRu2 crystal (PBE).

a b c (Å): 4.739 4.739 10.032
angles (deg): 76.34 76.34 90.00
Last column: magnetic moment on the atom in μB.
Positions (direct):
1 Ru 0.878 0.125 0.250  0.86
2 Ru 0.872 0.625 0.250  0.85
3 Ru 0.375 0.122 0.750  0.78
4 Ru 0.875 0.128 0.750  0.78
5 Rb 0.500 0.500 0.000  0.00
6 Rb 0.250 0.750 0.500  0.00
7 Pd 0.000 0.000 0.000  0.15
8 Pd 0.750 0.250 0.500  0.15

Summary:
Energy relative to the lowest polymorph listed for this composition in eV per atom: 0.0000
Total magnetization in μB per atom: 0.487
Space-group type: I-42d (122)
Formation energy in eV/atom: 1.235



Entry 6:
Entry from the Alexandria database: a relaxed SrLi2Sn3 crystal (PBE).

a b c (Å): 4.407 6.338 6.338
angles (deg): 119.97 90.00 90.00
Positions (direct):
1 Sr 0.000 0.001 0.000
2 Li 0.000 0.334 0.667
3 Li 0.000 0.668 0.333
4 Sn 0.500 0.001 0.500
5 Sn 0.500 0.501 0.500
6 Sn 0.500 0.501 0.000

Summary:
Energy relative to the lowest polymorph listed for this composition in eV per atom: 0.0000
Total magnetization in μB per atom: 0.000
Space-group type: P6/mmm (191)
Formation energy in eV/atom: -0.423



Entry 7:
Entry from the Alexandria database: a relaxed CaTi2TeN crystal (PBE).

a b c (Å): 5.236 4.449 5.236
angles (deg): 90.00 90.00 90.00
Last column: magnetic moment on the atom in μB.
Positions (direct):
1 N 0.000 0.500 0.000  -0.11
2 Ca 0.500 0.500 0.500  0.15
3 Te 0.000 0.000 0.000  -0.05
4 Ti 0.000 0.000 0.500  1.44
5 Ti 0.500 0.000 0.000  1.29

Summary:
Total magnetization in μB per atom: 0.801
Space-group type: P4/mmm (123)
ΔE_f (raw) in eV per atom: 1.009



Entry 8:
Entry from the Alexandria database: a relaxed ErAg2Cl5 crystal (PBE).

a b c (Å): 5.302 7.280 7.360
angles (deg): 83.88 70.78 70.68
Positions (direct):
1 Er 0.062 0.035 0.035
2 Ag 0.561 0.535 0.032
3 Ag 0.564 0.034 0.535
4 Cl 0.816 0.248 0.350
5 Cl 0.023 0.353 0.827
6 Cl 0.102 0.716 0.242
7 Cl 0.310 0.820 0.721
8 Cl 0.562 0.035 0.035

Summary:
Total magnetization in μB per atom: 0.000
Space-group type: P1 (1)
ΔE_f (raw) in eV per atom: -1.324



Entry 9:
Entry from the Alexandria database: a relaxed La3TmS6 crystal (PBE).

a b c (Å): 8.323 8.323 8.323
angles (deg): 91.81 91.81 91.81
Positions (direct):
1 La 0.431 0.924 0.749
2 La 0.924 0.749 0.431
3 La 0.251 0.569 0.076
4 La 0.749 0.431 0.924
5 La 0.076 0.251 0.569
6 La 0.569 0.076 0.251
7 Tm 0.000 0.000 0.000
8 Tm 0.500 0.500 0.500
9 S 0.307 0.917 0.073
10 S 0.083 0.927 0.693
11 S 0.588 0.808 0.459
12 S 0.927 0.693 0.083
13 S 0.459 0.588 0.808
14 S 0.192 0.541 0.412
15 S 0.808 0.459 0.588
16 S 0.541 0.412 0.192
17 S 0.073 0.307 0.917
18 S 0.412 0.192 0.541
19 S 0.917 0.073 0.307
20 S 0.693 0.083 0.927

Summary:
Energy relative to the lowest polymorph listed for this composition in eV per atom: 0.0000
Total magnetization in μB per atom: 0.000
Space-group type: R-3 (148)
ΔE_f (raw) in eV per atom: -2.163



Entry 10:
Entry from the Alexandria database: a relaxed Tm6ScAl2 crystal (PBE).

a b c (Å): 3.553 6.382 11.328
angles (deg): 74.67 80.98 73.84
Positions (direct):
1 Tm 0.678 0.523 0.121
2 Tm 0.322 0.477 0.879
3 Tm 0.311 0.786 0.592
4 Tm 0.975 0.718 0.333
5 Tm 0.025 0.282 0.667
6 Tm 0.689 0.214 0.408
7 Sc 0.000 0.000 0.000
8 Al 0.354 0.101 0.190
9 Al 0.646 0.899 0.810

Summary:
Total magnetization in μB per atom: 0.000
Space-group type: C2/m (12)
Formation energy in eV/atom: -0.172



Entry 11:
Entry from the Alexandria database: a relaxed ScCrP2 crystal (PBE).

a b c (Å): 2.995 4.561 4.561
angles (deg): 90.00 90.00 90.00
Last column: magnetic moment on the atom in μB.
Positions (direct):
1 Cr 0.500 0.000 0.500  3.18
2 P 0.000 0.000 0.000  -0.09
3 P 0.000 0.500 0.500  -0.09
4 Sc 0.500 0.500 0.000  0.15

Summary:
Energy relative to the lowest polymorph listed for this composition in eV per atom: 0.4207
Total magnetization in μB per atom: 0.871
Space-group type: P4/mmm (123)
Formation energy in eV/atom: -0.443



Entry 12:
Entry from the Alexandria database: a relaxed BaSr2As crystal (PBE).

a b c (Å): 4.579 4.579 11.266
angles (deg): 78.27 78.27 60.00
Last column: magnetic moment on the atom in μB.
Positions (direct):
1 Ba 0.502 0.502 0.493  0.10
2 Sr 0.048 0.048 0.856  0.02
3 Sr 0.284 0.284 0.148  0.03
4 As 0.666 0.666 0.003  0.03

Summary:
Total magnetization in μB per atom: 0.232
Space-group type: R3m (160)
Formation energy in eV/atom: -0.633



Entry 13:
Entry from the Alexandria database: a relaxed Co2WAu crystal (PBE).

a b c (Å): 3.779 2.725 6.031
angles (deg): 63.12 90.00 90.00
Last column: magnetic moment on the atom in μB.
Positions (direct):
1 Au 0.500 0.737 0.764  -0.02
2 Co 0.000 0.974 0.026  1.07
3 Co 0.500 0.250 0.249  0.55
4 W 0.000 0.540 0.461  -0.12

Summary:
Energy relative to the lowest polymorph listed for this composition in eV per atom: 0.1091
Total magnetization in μB per atom: 0.355
Space-group type: Pmm2 (25)
Formation energy in eV/atom: 0.264



Entry 14:
Entry from the Alexandria database: a relaxed Ac3Pm7Tl4 crystal (PBE).

a b c (Å): 5.303 9.628 10.319
angles (deg): 79.97 75.11 74.02
Positions (direct):
1 Ac 0.297 0.195 0.210
2 Ac 0.703 0.805 0.790
3 Ac 0.000 0.500 0.500
4 Pm 0.323 0.841 0.513
5 Pm 0.473 0.222 0.831
6 Pm 0.824 0.395 0.957
7 Pm 0.677 0.159 0.487
8 Pm 0.176 0.605 0.043
9 Pm 0.000 0.000 0.000
10 Pm 0.527 0.778 0.169
11 Tl 0.641 0.444 0.275
12 Tl 0.359 0.556 0.725
13 Tl 0.901 0.877 0.320
14 Tl 0.099 0.123 0.680

Summary:
Total magnetization in μB per atom: 0.000
Space-group type: C2/m (12)
Formation energy in eV/atom: -0.185



Entry 15:
Entry from the Alexandria database: a relaxed PmPr3Tm7 crystal (PBE).

a b c (Å): 6.651 8.600 6.506
angles (deg): 81.44 94.95 80.81
Positions (direct):
1 Pm 0.500 0.500 0.500
2 Pr 0.063 0.839 0.202
3 Pr 0.500 0.000 0.000
4 Pr 0.937 0.161 0.798
5 Tm 0.777 0.216 0.275
6 Tm 0.707 0.856 0.559
7 Tm 0.265 0.417 0.014
8 Tm 0.735 0.583 0.986
9 Tm 0.000 0.500 0.500
10 Tm 0.293 0.144 0.441
11 Tm 0.223 0.784 0.725

Summary:
Energy relative to the lowest polymorph listed for this composition in eV per atom: 0.0000
Total magnetization in μB per atom: 0.000
Space-group type: P-1 (2)
Formation energy in eV/atom: 0.121



Entry 16:
Entry from the Alexandria database: a relaxed BaRe2As crystal (PBE).

a b c (Å): 4.291 4.291 6.561
angles (deg): 70.91 70.91 60.00
Positions (direct):
1 Re 0.051 0.051 0.846
2 Re 0.745 0.745 0.764
3 As 0.455 0.455 0.636
4 Ba 0.249 0.249 0.254

Summary:
Total magnetization in μB per atom: 0.000
Space-group type: R3m (160)
Formation energy in eV/atom: 0.012



Entry 17:
Entry from the Alexandria database: a relaxed SrZnCr2 crystal (PBE).

a b c (Å): 5.918 5.918 5.918
angles (deg): 146.22 126.06 65.18
Last column: magnetic moment on the atom in μB.
Positions (direct):
1 Cr 0.958 0.958 0.000  3.79
2 Cr 0.542 0.542 0.000  3.79
3 Sr 0.250 0.750 0.500  0.01
4 Zn 0.750 0.250 0.500  -0.04

Summary:
Total magnetization in μB per atom: 2.146
Space-group type: Immm (71)
Formation energy in eV/atom: 0.730



Entry 18:
Entry from the Alexandria database: a relaxed SmHoZr crystal (PBE).

a b c (Å): 3.405 3.405 7.815
angles (deg): 102.58 102.58 90.00
Positions (direct):
1 Zr 0.331 0.331 0.662
2 Ho 0.679 0.679 0.357
3 Sm 0.991 0.991 0.981

Summary:
Energy relative to the lowest polymorph listed for this composition in eV per atom: 0.0000
Total magnetization in μB per atom: 0.000
Space-group type: I4mm (107)
Formation energy in eV/atom: 0.092



Entry 19:
Entry from the Alexandria database: a relaxed MoAs crystal (PBE).

a b c (Å): 5.759 5.759 6.009
angles (deg): 71.82 71.82 32.56
Positions (direct):
1 Mo 0.989 0.989 0.989
2 Mo 0.089 0.089 0.420
3 Mo 0.706 0.706 0.053
4 As 0.655 0.655 0.688
5 As 0.335 0.335 0.273
6 As 0.393 0.393 0.743

Summary:
Total magnetization in μB per atom: 0.000
Space-group type: Cm (8)
Formation energy in eV/atom: -0.002



Entry 20:
Entry from the Alexandria database: a relaxed TmH4Rh crystal (PBE).

a b c (Å): 3.647 6.174 6.408
angles (deg): 90.00 90.00 126.16
Positions (direct):
1 Tm 0.923 0.674 0.750
2 Tm 0.077 0.326 0.250
3 H 0.616 0.866 0.750
4 H 0.384 0.134 0.250
5 H 0.444 0.194 0.750
6 H 0.556 0.806 0.250
7 H 0.786 0.536 0.084
8 H 0.214 0.464 0.584
9 H 0.786 0.536 0.416
10 H 0.214 0.464 0.916
11 Rh 0.954 0.204 0.750
12 Rh 0.046 0.796 0.250

Summary:
Total magnetization in μB per atom: 0.000
Space-group type: Pmmn (59)



Entry 21:
Entry from the Alexandria database: a relaxed MoOsS crystal (PBE).

a b c (Å): 4.639 2.965 6.453
angles (deg): 90.00 98.91 90.00
Positions (direct):
1 Mo 0.219 0.000 0.804
2 Mo 0.755 0.000 0.063
3 Os 0.846 0.500 0.449
4 Os 0.298 0.500 0.168
5 S 0.220 0.000 0.439
6 S 0.641 0.500 0.764

Summary:
Energy relative to the lowest polymorph listed for this composition in eV per atom: 0.1003
Total magnetization in μB per atom: 0.000
Space-group type: Pm (6)
ΔE_f (raw) in eV per atom: -0.017



Entry 22:
Entry from the Alexandria database: a relaxed Zn2CrPb crystal (PBE).

a b c (Å): 9.443 9.443 9.443
angles (deg): 19.47 19.47 19.47
Last column: magnetic moment on the atom in μB.
Positions (direct):
1 Cr 0.250 0.250 0.250  3.45
2 Pb 0.750 0.750 0.750  -0.01
3 Zn 0.987 0.987 0.987  -0.01
4 Zn 0.513 0.513 0.513  -0.01

Summary:
Total magnetization in μB per atom: 0.943
Space-group type: R-3m (166)
Formation energy in eV/atom: 0.407



Entry 23:
Entry from the Alexandria database: a relaxed Tb2CeMoN4 crystal (PBE).

a b c (Å): 3.419 6.160 11.845
angles (deg): 90.00 90.00 106.11
Last column: magnetic moment on the atom in μB.
Positions (direct):
1 Tb 0.370 0.740 0.539  0.01
2 Tb 0.630 0.260 0.039  0.01
3 Tb 0.630 0.260 0.461  0.01
4 Tb 0.370 0.740 0.961  0.01
5 Ce 0.103 0.206 0.750  0.47
6 Ce 0.897 0.794 0.250  0.47
7 Mo 0.842 0.685 0.750  0.08
8 Mo 0.158 0.315 0.250  0.08
9 N 0.265 0.531 0.126  0.00
10 N 0.735 0.469 0.626  0.00
11 N 0.735 0.469 0.874  0.00
12 N 0.265 0.531 0.374  0.00
13 N 0.000 0.000 0.500  0.00
14 N 0.000 0.000 0.000  0.00
15 N 0.447 0.894 0.750  -0.01
16 N 0.553 0.106 0.250  -0.01

Summary:
Total magnetization in μB per atom: 0.079
Space-group type: Cmcm (63)
ΔE_f (raw) in eV per atom: -1.129



Entry 24:
Entry from the Alexandria database: a relaxed Ba4MgBi3O12 crystal (PBE).

a b c (Å): 7.473 7.473 7.473
angles (deg): 109.47 109.47 109.47
Positions (direct):
1 Ba 0.000 0.500 0.000
2 Ba 0.500 0.000 0.000
3 Ba 0.500 0.500 0.500
4 Ba 0.000 0.000 0.500
5 Mg 0.000 0.000 0.000
6 Bi 0.500 0.000 0.500
7 Bi 0.500 0.500 0.000
8 Bi 0.000 0.500 0.500
9 O 0.748 0.748 0.000
10 O 0.250 0.500 0.750
11 O 0.252 0.000 0.252
12 O 0.500 0.750 0.250
13 O 0.750 0.250 0.500
14 O 0.750 0.500 0.250
15 O 0.000 0.748 0.748
16 O 0.000 0.252 0.252
17 O 0.252 0.252 0.000
18 O 0.250 0.750 0.500
19 O 0.500 0.250 0.750
20 O 0.748 0.000 0.748

Summary:
Total magnetization in μB per atom: 0.000
Space-group type: Im-3m (229)
ΔE_f (raw) in eV per atom: -1.896



Number 1: calculated total energy -25.45 eV/f.u., volume 80.2 Å³/cell. Number 2: calculated total energy -70.73 eV/f.u., volume 311.0 Å³/cell. Number 3: calculated total energy -44.72 eV/f.u., volume 65.0 Å³/cell. Number 4: calculated total energy -26.01 eV/f.u., volume 50.1 Å³/cell. Number 5: calculated total energy -19.77 eV/f.u., volume 212.4 Å³/cell. Number 6: calculated total energy -20.06 eV/f.u., volume 153.4 Å³/cell. Number 7: calculated total energy -24.21 eV/f.u., volume 122.0 Å³/cell. Number 8: calculated total energy -30.09 eV/f.u., volume 253.1 Å³/cell. Number 9: calculated total energy -65.65 eV/f.u., volume 575.6 Å³/cell. Number 10: calculated total energy -42.19 eV/f.u., volume 236.9 Å³/cell. Number 11: calculated total energy -28.54 eV/f.u., volume 62.3 Å³/cell. Number 12: calculated total energy -12.47 eV/f.u., volume 198.9 Å³/cell. Number 13: calculated total energy -29.39 eV/f.u., volume 55.4 Å³/cell. Number 14: calculated total energy -57.63 eV/f.u., volume 486.4 Å³/cell. Number 15: calculated total energy -49.06 eV/f.u., volume 361.0 Å³/cell. Number 16: calculated total energy -31.42 eV/f.u., volume 96.9 Å³/cell. Number 17: calculated total energy -19.28 eV/f.u., volume 92.0 Å³/cell. Number 18: calculated total energy -17.57 eV/f.u., volume 86.2 Å³/cell. Number 19: calculated total energy -15.48 eV/f.u., volume 101.4 Å³/cell. Number 20: calculated total energy -27.51 eV/f.u., volume 116.5 Å³/cell. Number 21: calculated total energy -26.24 eV/f.u., volume 87.7 Å³/cell. Number 22: calculated total energy -14.25 eV/f.u., volume 81.8 Å³/cell. Number 23: calculated total energy -68.36 eV/f.u., volume 239.7 Å³/cell. Number 24: calculated total energy -118.34 eV/f.u., volume 321.3 Å³/cell.